Entry 1:
{"formula": "Ac6IrO12", "functional": "PBE", "state": "optimized geometry", "lattice": [[5.345, 3.086, 3.424], [-5.345, 3.086, 3.424], [0.000, -6.171, 3.424]], "species": ["Ac", "Ac", "Ac", "Ac", "Ac", "Ac", "Ir", "O", "O", "O", "O", "O", "O", "O", "O", "O", "O", "O", "O"], "frac_coords": [[0.104, 0.800, 0.643], [0.200, 0.357, 0.896], [0.357, 0.896, 0.200], [0.643, 0.104, 0.800], [0.800, 0.643, 0.104], [0.896, 0.200, 0.357], [0.500, 0.500, 0.500], [0.054, 0.905, 0.323], [0.095, 0.677, 0.946], [0.222, 0.436, 0.529], [0.323, 0.054, 0.905], [0.436, 0.529, 0.222], [0.471, 0.778, 0.564], [0.529, 0.222, 0.436], [0.564, 0.471, 0.778], [0.677, 0.946, 0.095], [0.778, 0.564, 0.471], [0.905, 0.323, 0.054], [0.946, 0.095, 0.677]], "e_form_raw_ev_per_atom": -2.820, "space_group": "R-3, No. 148"}

Entry 2:
{"formula": "Ac2IrO", "functional": "PBE", "state": "optimized geometry", "lattice": [[3.525, 0.000, 0.000], [0.000, 3.525, 0.000], [0.000, 0.000, 7.249]], "species": ["Ac", "Ac", "Ir", "O"], "frac_coords": [[0.000, 0.000, 0.240], [0.000, 0.000, 0.760], [0.500, 0.500, 0.500], [0.500, 0.500, 0.000]], "e_form_raw_ev_per_atom": -1.159, "space_group": "P4/mmm, No. 123", "dos_at_fermi_per_ev_cell": 1.55}

Entry 3:
{"formula": "AcIr4O12", "functional": "PBE", "state": "optimized geometry", "lattice": [[-3.791, 3.791, 3.791], [3.791, -3.791, 3.791], [3.791, 3.791, -3.791]], "species": ["Ac", "Ir", "Ir", "Ir", "Ir", "O", "O", "O", "O", "O", "O", "O", "O", "O", "O", "O", "O"], "frac_coords": [[0.000, 0.000, 0.000], [0.000, 0.000, 0.500], [0.000, 0.500, 0.000], [0.500, 0.000, 0.000], [0.500, 0.500, 0.500], [0.100, 0.810, 0.289], [0.190, 0.289, 0.479], [0.190, 0.711, 0.900], [0.289, 0.100, 0.810], [0.289, 0.479, 0.190], [0.479, 0.190, 0.289], [0.521, 0.810, 0.711], [0.711, 0.521, 0.810], [0.711, 0.900, 0.190], [0.810, 0.289, 0.100], [0.810, 0.711, 0.521], [0.900, 0.190, 0.711]], "e_form_raw_ev_per_atom": -0.903, "space_group": "Im-3, No. 204", "dos_at_fermi_per_ev_cell": 13.73}

Entry 4:
{"formula": "AcIrO4", "functional": "PBE", "state": "optimized geometry", "lattice": [[7.705, 0.000, 0.000], [0.000, 5.776, 0.000], [-1.729, 0.000, 7.638]], "species": ["Ac", "Ac", "Ac", "Ac", "Ir", "Ir", "Ir", "Ir", "O", "O", "O", "O", "O", "O", "O", "O", "O", "O", "O", "O", "O", "O", "O", "O"], "frac_coords": [[0.176, 0.228, 0.411], [0.176, 0.272, 0.911], [0.824, 0.728, 0.089], [0.824, 0.772, 0.589], [0.335, 0.732, 0.206], [0.335, 0.768, 0.706], [0.665, 0.232, 0.294], [0.665, 0.268, 0.794], [0.119, 0.530, 0.173], [0.119, 0.970, 0.673], [0.172, 0.510, 0.639], [0.172, 0.990, 0.139], [0.337, 0.664, 0.955], [0.337, 0.836, 0.455], [0.452, 0.072, 0.785], [0.452, 0.428, 0.285], [0.548, 0.572, 0.715], [0.548, 0.928, 0.215], [0.663, 0.164, 0.545], [0.663, 0.336, 0.045], [0.828, 0.010, 0.861], [0.828, 0.490, 0.361], [0.881, 0.030, 0.327], [0.881, 0.470, 0.827]], "e_form_raw_ev_per_atom": -1.836, "space_group": "P2_1/c, No. 14", "dos_at_fermi_per_ev_cell": 16.17}

Entry 5:
{"formula": "AcIr2O8", "functional": "PBE", "state": "optimized geometry", "lattice": [[3.841, 0.000, 0.000], [-0.308, 6.021, 0.000], [-0.456, -2.913, 5.527]], "species": ["Ac", "Ir", "Ir", "O", "O", "O", "O", "O", "O", "O", "O"], "frac_coords": [[0.000, 0.000, 0.000], [0.417, 0.368, 0.668], [0.583, 0.632, 0.332], [0.044, 0.525, 0.255], [0.146, 0.027, 0.451], [0.464, 0.254, 0.903], [0.474, 0.709, 0.667], [0.526, 0.291, 0.333], [0.536, 0.746, 0.097], [0.854, 0.973, 0.549], [0.956, 0.475, 0.745]], "e_form_raw_ev_per_atom": -0.966, "space_group": "P-1, No. 2", "dos_at_fermi_per_ev_cell": 4.90}

Entry 6:
{"formula": "Ac2IrO", "functional": "PBE", "state": "optimized geometry", "lattice": [[4.266, 0.000, 0.000], [0.000, 5.736, 0.000], [0.000, 0.000, 4.309]], "species": ["Ac", "Ac", "Ir", "O"], "frac_coords": [[0.000, 0.000, 0.000], [0.500, 0.500, 0.379], [0.000, 0.500, 0.869], [0.500, 0.000, 0.282]], "e_form_raw_ev_per_atom": -1.591, "space_group": "Pmm2, No. 25", "dos_at_fermi_per_ev_cell": 1.25}